## FeSbCl2 (GGA-PBE)

Data for a relaxed FeSbCl2 crystal.

```
FeSbCl2
1.0
5.106 0.000 0.000
0.000 5.106 0.000
0.000 0.000 3.278
Fe Sb Cl
1 1 2
Cartesian
0.000 0.000 0.000
2.553 2.553 0.000
0.000 2.553 1.639
2.553 0.000 1.639
```

Formation energy from raw total energies (eV per atom): 0.460
Total moment (μB/cell): 3.34
Polymorph energy (0 for the lowest one) (kcal/mol of atoms): 17.18
Space group: No. 123
Energy (eV per atom): -3.610